(1)
VASP calculation (PBE) on KMg2Cr after structural relaxation.

The value obtained for the energy above the most stable polymorph in this dataset is 224.4 meV per atom. The total magnetic moment is 8.1 μB per cell. The formation energy comes out at 0.68 eV/atom. The total DFT energy (no corrections) is -22.4 eV for the cell shown. For the density of states at the Fermi level, the calculation gives 2.61 states/eV/f.u.

The space group is C2/m (No. 12) and the conventional cell measures 7.614, 8.386 and 3.321 Å, with angles of 90.00, 90.17 and 90.00 degrees. The inequivalent atoms are K at (0.000, 0.000, 0.000), Mg at (0.250, 0.250, 0.500) and Cr at (0.000, 0.500, 0.000).



(2)
VASP calculation (PBE) on Fe2IrCl after structural relaxation.

The value obtained for the energy above the most stable polymorph in this dataset is 328.6 meV per atom. The total magnetic moment is 6.9 μB per cell. The total DFT energy (no corrections) is -25.8 eV for the cell shown. For the density of states at the Fermi level, the calculation gives 4.23 states/eV/f.u. Its formation energy without anion corrections is 0.46 eV per atom.

The space group is P4/mmm (No. 123) and the conventional cell measures 4.610, 4.610 and 2.757 Å, with angles of 90.00, 90.00 and 90.00 degrees. The inequivalent atoms are Fe at (0.000, 0.500, 0.000), Ir at (0.000, 0.000, 0.500) and Cl at (0.500, 0.500, 0.500).



(3)
VASP calculation (PBE) on TaCrNi2Ir after structural relaxation.

The total magnetic moment is 0.0 μB per cell. The formation energy comes out at 0.99 eV/atom. The total DFT energy (no corrections) is -36.9 eV for the cell shown. For the density of states at the Fermi level, the calculation gives 6.53 states/eV/f.u.

The space group is P4/mmm (No. 123) and the conventional cell measures 4.169, 4.169 and 4.509 Å, with angles of 90.00, 90.00 and 90.00 degrees. The inequivalent atoms are Ta at (0.000, 0.000, 0.000), Cr at (0.500, 0.500, 0.500), Ni at (0.000, 0.500, 0.500) and Ir at (0.500, 0.500, 0.000).